No. 1
First-principles (PBE) data for a geometry-optimized TePW2 structure, as listed in Alexandria.

Properties
- M_tot: 0.000 μB/atom
- Relative energy among the computed polymorphs: 1.32 eV per formula unit
- E_tot: -0.5953 Ry per atom
- DOS(E_F): 3.1 states/eV per cell
- E_form (uncorrected): 0.52 eV/atom
- Symmetry: P4/mmm (123)

Cell and atoms, written as CIF:
```
data_TePW2
_chemical_formula_sum 'Te1 P1 W2'
_cell_length_a 4.4961
_cell_length_b 4.4961
_cell_length_c 3.2119
_cell_angle_alpha 90.00
_cell_angle_beta 90.00
_cell_angle_gamma 90.00
_space_group_name_H-M_alt 'P 1'
_space_group_IT_number 1
_space_group_name_Hall 'P 1'
loop_
_atom_site_label
_atom_site_type_symbol
_atom_site_fract_x
_atom_site_fract_y
_atom_site_fract_z
Te1 Te 0.0000 0.0000 0.0000
P1 P 0.5000 0.5000 0.0000
W1 W 0.0000 0.5000 0.5000
W2 W 0.5000 0.0000 0.5000
```

No. 2
First-principles (PBE) data for a geometry-optimized SrSc2Te structure, as listed in Alexandria.

Properties
- M_tot: 0.651 μB/atom
- E_tot: -0.3247 Ry per atom
- DOS(E_F): 32.5 states/eV per cell
- E_form (uncorrected): -0.05 eV/atom
- Symmetry: F-43m (216)

Cell and atoms, written as CIF:
```
data_SrSc2Te
_chemical_formula_sum 'Sr4 Sc8 Te4'
_cell_length_a 7.7030
_cell_length_b 7.7030
_cell_length_c 7.7030
_cell_angle_alpha 90.00
_cell_angle_beta 90.00
_cell_angle_gamma 90.00
_space_group_name_H-M_alt 'P 1'
_space_group_IT_number 1
_space_group_name_Hall 'P 1'
loop_
_atom_site_label
_atom_site_type_symbol
_atom_site_fract_x
_atom_site_fract_y
_atom_site_fract_z
Sr1 Sr 0.0000 0.0000 0.0000
Sr2 Sr 0.0000 0.5000 0.5000
Sr3 Sr 0.5000 0.0000 0.5000
Sr4 Sr 0.5000 0.5000 0.0000
Sc1 Sc 0.0000 0.0000 0.5000
Sc2 Sc 0.0000 0.5000 0.0000
Sc3 Sc 0.2500 0.2500 0.2500
Sc4 Sc 0.2500 0.7500 0.7500
Sc5 Sc 0.5000 0.0000 0.0000
Sc6 Sc 0.5000 0.5000 0.5000
Sc7 Sc 0.7500 0.2500 0.7500
Sc8 Sc 0.7500 0.7500 0.2500
Te1 Te 0.2500 0.2500 0.7500
Te2 Te 0.2500 0.7500 0.2500
Te3 Te 0.7500 0.2500 0.2500
Te4 Te 0.7500 0.7500 0.7500
```

No. 3
First-principles (PBE) data for a geometry-optimized CrAs2Cl structure, as listed in Alexandria.

Properties
- M_tot: 0.960 μB/atom
- Relative energy among the computed polymorphs: 2.33 eV per formula unit
- E_tot: -0.3558 Ry per atom
- DOS(E_F): 4.6 states/eV per cell
- E_form (uncorrected): 0.35 eV/atom
- Symmetry: Cmmm (65)

Cell and atoms, written as CIF:
```
data_CrAs2Cl
_chemical_formula_sum 'Cr2 As4 Cl2'
_cell_length_a 4.9747
_cell_length_b 10.6341
_cell_length_c 3.0158
_cell_angle_alpha 90.00
_cell_angle_beta 90.00
_cell_angle_gamma 90.00
_space_group_name_H-M_alt 'P 1'
_space_group_IT_number 1
_space_group_name_Hall 'P 1'
loop_
_atom_site_label
_atom_site_type_symbol
_atom_site_fract_x
_atom_site_fract_y
_atom_site_fract_z
Cr1 Cr 0.0000 0.0000 0.0000
Cr2 Cr 0.5000 0.5000 0.0000
As1 As 0.2500 0.2500 0.5000
As2 As 0.2500 0.7500 0.5000
As3 As 0.7500 0.2500 0.5000
As4 As 0.7500 0.7500 0.5000
Cl1 Cl 0.0000 0.5000 0.0000
Cl2 Cl 0.5000 0.0000 0.0000
```

No. 4
First-principles (PBE) data for a geometry-optimized NaCaSb3 structure, as listed in Alexandria.

Properties
- M_tot: 0.000 μB/atom
- Relative energy among the computed polymorphs: 0.00 eV per formula unit
- E_tot: -0.2155 Ry per atom
- DOS(E_F): 3.1 states/eV per cell
- E_form (uncorrected): 0.21 eV/atom
- Symmetry: Pm-3m (221)

Cell and atoms, written as CIF:
```
data_NaCaSb3
_chemical_formula_sum 'Na1 Ca1 Sb3'
_cell_length_a 5.4281
_cell_length_b 5.4281
_cell_length_c 5.4281
_cell_angle_alpha 90.00
_cell_angle_beta 90.00
_cell_angle_gamma 90.00
_space_group_name_H-M_alt 'P 1'
_space_group_IT_number 1
_space_group_name_Hall 'P 1'
loop_
_atom_site_label
_atom_site_type_symbol
_atom_site_fract_x
_atom_site_fract_y
_atom_site_fract_z
Na1 Na 0.0000 0.0000 0.0000
Ca1 Ca 0.5000 0.5000 0.5000
Sb1 Sb 0.0000 0.0000 0.5000
Sb2 Sb 0.0000 0.5000 0.0000
Sb3 Sb 0.5000 0.0000 0.0000
```

No. 5
First-principles (PBE) data for a geometry-optimized Li2NiCl structure, as listed in Alexandria.

Properties
- M_tot: 0.111 μB/atom
- Relative energy among the computed polymorphs: 0.12 eV per formula unit
- E_tot: -0.2451 Ry per atom
- DOS(E_F): 4.6 states/eV per cell
- E_form (uncorrected): -0.47 eV/atom
- Symmetry: P4/mmm (123)

Cell and atoms, written as CIF:
```
data_Li2NiCl
_chemical_formula_sum 'Li2 Ni1 Cl1'
_cell_length_a 3.0301
_cell_length_b 3.0301
_cell_length_c 6.3094
_cell_angle_alpha 90.00
_cell_angle_beta 90.00
_cell_angle_gamma 90.00
_space_group_name_H-M_alt 'P 1'
_space_group_IT_number 1
_space_group_name_Hall 'P 1'
loop_
_atom_site_label
_atom_site_type_symbol
_atom_site_fract_x
_atom_site_fract_y
_atom_site_fract_z
Li1 Li 0.0000 0.0000 0.2353
Li2 Li 0.0000 0.0000 0.7647
Ni1 Ni 0.5000 0.5000 0.5000
Cl1 Cl 0.5000 0.5000 0.0000
```

No. 6
First-principles (PBE) data for a geometry-optimized Na2ScPaTe4 structure, as listed in Alexandria.

Properties
- M_tot: 0.245 μB/atom
- E_tot: -0.3591 Ry per atom
- DOS(E_F): 7.6 states/eV per cell
- E_form (uncorrected): -1.01 eV/atom
- Symmetry: P2/m (10)

Cell and atoms, written as CIF:
```
data_Na2ScPaTe4
_chemical_formula_sum 'Na2 Sc1 Pa1 Te4'
_cell_length_a 7.4593
_cell_length_b 4.2731
_cell_length_c 8.0688
_cell_angle_alpha 90.00
_cell_angle_beta 107.60
_cell_angle_gamma 90.00
_space_group_name_H-M_alt 'P 1'
_space_group_IT_number 1
_space_group_name_Hall 'P 1'
loop_
_atom_site_label
_atom_site_type_symbol
_atom_site_fract_x
_atom_site_fract_y
_atom_site_fract_z
Na1 Na 0.0000 0.0000 0.0000
Na2 Na 0.5000 0.5000 0.0000
Sc1 Sc 0.0000 0.5000 0.5000
Pa1 Pa 0.5000 0.0000 0.5000
Te1 Te 0.2317 0.0000 0.7257
Te2 Te 0.2432 0.5000 0.2646
Te3 Te 0.7568 0.5000 0.7354
Te4 Te 0.7683 0.0000 0.2743
```